1.
## Dy3Tl3GeSe8 (GGA-PBE)

Data for a relaxed Dy3Tl3GeSe8 crystal.

Computed properties:
N(E_F), states/eV per cell: 10.0
Crystal system: trigonal
E_form (uncorrected), eV/atom: -1.09

Structure (CIF):
```
data_Dy3Tl3GeSe8
_chemical_formula_sum 'Dy9 Tl9 Ge3 Se24'
_cell_length_a 8.2124
_cell_length_b 8.2124
_cell_length_c 23.3731
_cell_angle_alpha 90.00
_cell_angle_beta 90.00
_cell_angle_gamma 120.00
_symmetry_space_group_name_H-M 'R -3 m'
_symmetry_Int_Tables_number 166
_symmetry_space_group_name_Hall '-R 3 2"'
loop_
_atom_site_label
_atom_site_type_symbol
_atom_site_fract_x
_atom_site_fract_y
_atom_site_fract_z
Dy1 Dy 0.0000 0.5000 0.0000
Tl1 Tl 0.0000 0.5000 0.5000
Ge1 Ge 0.0000 0.0000 0.0000
Se1 Se 0.0000 0.0000 0.2645
Se2 Se 0.0219 0.5110 0.7312
```


2.
## Mn4CdSe (GGA-PBE)

Data for a relaxed Mn4CdSe crystal.

Computed properties:
N(E_F), states/eV per cell: 37.0
Crystal system: cubic
E_form (uncorrected), eV/atom: 0.53

Structure (CIF):
```
data_Mn4CdSe
_chemical_formula_sum 'Mn16 Cd4 Se4'
_cell_length_a 7.032
_cell_length_b 7.032
_cell_length_c 7.032
_cell_angle_alpha 90.00
_cell_angle_beta 90.00
_cell_angle_gamma 90.00
_symmetry_space_group_name_H-M 'F -4 3 m'
_symmetry_Int_Tables_number 216
_symmetry_space_group_name_Hall 'F -4 2 3'
loop_
_atom_site_label
_atom_site_type_symbol
_atom_site_fract_x
_atom_site_fract_y
_atom_site_fract_z
Mn1 Mn 0.125 0.125 0.125
Cd1 Cd 0.000 0.000 0.500
Se1 Se 0.250 0.250 0.750
```


- E_form (uncorrected) of number 2 (Mn4CdSe)?
  0.53 eV/atom